Computed, not measured: a geometry-optimized La2ErGa12Ni3 structure at the PBE level of DFT.

Results
* calculated formation energy: -145 meV per atom
* total moment: 0.000 μB per atom

Geometry as CIF:
```
data_La2ErGa12Ni3
_cell_length_a 8.5425
_cell_length_b 8.5425
_cell_length_c 18.7142
_cell_angle_alpha 90.00
_cell_angle_beta 90.00
_cell_angle_gamma 120.00
_symmetry_space_group_name_H-M 'R -3 m'
_symmetry_Int_Tables_number 166
_symmetry_space_group_name_Hall '-R 3 2"'
loop_
_atom_site_label
_atom_site_type_symbol
_atom_site_fract_x
_atom_site_fract_y
_atom_site_fract_z
La1 La 0.0000 0.0000 0.0818
Er1 Er 0.0000 0.0000 0.5000
Ga1 Ga 0.0730 0.5365 0.3148
Ga2 Ga 0.0866 0.5433 0.8786
Ni1 Ni 0.0000 0.5000 0.0000
```

=====

Computed, not measured: a geometry-optimized SrReTe structure at the PBE level of DFT.

Results
* energy relative to the lowest polymorph listed for this composition: 467 meV/atom
* formation energy (no corrections): 0.7204 eV per atom
* total moment: 0.393 μB per atom

Geometry as CIF:
```
data_SrReTe
_cell_length_a 6.788
_cell_length_b 6.788
_cell_length_c 6.788
_cell_angle_alpha 90.00
_cell_angle_beta 90.00
_cell_angle_gamma 90.00
_symmetry_space_group_name_H-M 'F -4 3 m'
_symmetry_Int_Tables_number 216
_symmetry_space_group_name_Hall 'F -4 2 3'
loop_
_atom_site_label
_atom_site_type_symbol
_atom_site_fract_x
_atom_site_fract_y
_atom_site_fract_z
Sr1 Sr 0.000 0.000 0.000
Re1 Re 0.250 0.250 0.750
Te1 Te 0.000 0.000 0.500
```

=====

Computed, not measured: a geometry-optimized NaMgB12 structure at the PBE level of DFT.

Results
* calculated formation energy: -29 meV per atom
* total moment: 0.000 μB per atom

Geometry as CIF:
```
data_NaMgB12
_cell_length_a 4.136
_cell_length_b 4.136
_cell_length_c 8.267
_cell_angle_alpha 90.00
_cell_angle_beta 90.00
_cell_angle_gamma 90.00
_symmetry_space_group_name_H-M 'P 4/m m m'
_symmetry_Int_Tables_number 123
_symmetry_space_group_name_Hall '-P 4 2'
loop_
_atom_site_label
_atom_site_type_symbol
_atom_site_fract_x
_atom_site_fract_y
_atom_site_fract_z
Na1 Na 0.000 0.000 0.000
Mg1 Mg 0.000 0.000 0.500
B1 B 0.199 0.500 0.253
B2 B 0.500 0.500 0.101
B3 B 0.500 0.500 0.402
```

=====

Computed, not measured: a geometry-optimized Mg2InPtI structure at the PBE level of DFT.

Results
* formation energy (no corrections): 0.9406 eV per atom
* total moment: 0.000 μB per atom

Geometry as CIF:
```
data_Mg2InPtI
_cell_length_a 5.384
_cell_length_b 5.384
_cell_length_c 6.035
_cell_angle_alpha 90.00
_cell_angle_beta 90.00
_cell_angle_gamma 90.00
_symmetry_space_group_name_H-M 'P 4/m m m'
_symmetry_Int_Tables_number 123
_symmetry_space_group_name_Hall '-P 4 2'
loop_
_atom_site_label
_atom_site_type_symbol
_atom_site_fract_x
_atom_site_fract_y
_atom_site_fract_z
Mg1 Mg 0.000 0.500 0.000
In1 In 0.000 0.000 0.500
Pt1 Pt 0.500 0.500 0.500
I1 I 0.000 0.000 0.000
```

=====

Computed, not measured: a geometry-optimized CdCo2Ir structure at the PBE level of DFT.

Results
* calculated formation energy: 286 meV per atom
* total moment: 0.760 μB per atom

Geometry as CIF:
```
data_CdCo2Ir
_cell_length_a 5.562
_cell_length_b 7.310
_cell_length_c 2.729
_cell_angle_alpha 90.00
_cell_angle_beta 90.00
_cell_angle_gamma 90.00
_symmetry_space_group_name_H-M 'C m m m'
_symmetry_Int_Tables_number 65
_symmetry_space_group_name_Hall '-C 2 2'
loop_
_atom_site_label
_atom_site_type_symbol
_atom_site_fract_x
_atom_site_fract_y
_atom_site_fract_z
Cd1 Cd 0.000 0.000 0.000
Co1 Co 0.250 0.250 0.500
Ir1 Ir 0.000 0.500 0.000
```

=====

Computed, not measured: a geometry-optimized ScCuRePd2 structure at the PBE level of DFT.

Results
* calculated formation energy: 1413 meV per atom
* total moment: 0.425 μB per atom

Geometry as CIF:
```
data_ScCuRePd2
_cell_length_a 4.691
_cell_length_b 4.691
_cell_length_c 4.793
_cell_angle_alpha 90.00
_cell_angle_beta 90.00
_cell_angle_gamma 90.00
_symmetry_space_group_name_H-M 'P 4/m m m'
_symmetry_Int_Tables_number 123
_symmetry_space_group_name_Hall '-P 4 2'
loop_
_atom_site_label
_atom_site_type_symbol
_atom_site_fract_x
_atom_site_fract_y
_atom_site_fract_z
Sc1 Sc 0.000 0.000 0.000
Cu1 Cu 0.500 0.500 0.500
Re1 Re 0.000 0.000 0.500
Pd1 Pd 0.000 0.500 0.000
```

=====

Computed, not measured: a geometry-optimized Nb2InRu2 structure at the PBE level of DFT.

Results
* calculated formation energy: -122 meV per atom
* total moment: 0.000 μB per atom

Geometry as CIF:
```
data_Nb2InRu2
_cell_length_a 7.554
_cell_length_b 7.554
_cell_length_c 3.069
_cell_angle_alpha 90.00
_cell_angle_beta 90.00
_cell_angle_gamma 90.00
_symmetry_space_group_name_H-M 'P 4/m b m'
_symmetry_Int_Tables_number 127
_symmetry_space_group_name_Hall '-P 4 2ab'
loop_
_atom_site_label
_atom_site_type_symbol
_atom_site_fract_x
_atom_site_fract_y
_atom_site_fract_z
Nb1 Nb 0.162 0.338 0.000
In1 In 0.000 0.000 0.500
Ru1 Ru 0.133 0.633 0.500
```

=====

Computed, not measured: a geometry-optimized Ac4Bi8Rh structure at the PBE level of DFT.

Results
* calculated formation energy: -639 meV per atom
* total moment: 0.000 μB per atom

Geometry as CIF:
```
data_Ac4Bi8Rh
_cell_length_a 4.804
_cell_length_b 4.886
_cell_length_c 18.479
_cell_angle_alpha 90.00
_cell_angle_beta 90.00
_cell_angle_gamma 90.00
_symmetry_space_group_name_H-M 'P m m 2'
_symmetry_Int_Tables_number 25
loop_
_symmetry_equiv_pos_as_xyz
'x,y,z'
'-x,-y,z'
'-x,y,z'
'x,-y,z'
loop_
_atom_site_label
_atom_site_type_symbol
_atom_site_fract_x
_atom_site_fract_y
_atom_site_fract_z
Ac1 Ac 0.000 0.000 0.000
Ac2 Ac 0.000 0.500 0.199
Ac3 Ac 0.500 0.000 0.488
Ac4 Ac 0.500 0.500 0.704
Bi1 Bi 0.000 0.000 0.343
Bi2 Bi 0.000 0.000 0.642
Bi3 Bi 0.000 0.500 0.519
Bi4 Bi 0.000 0.500 0.858
Bi5 Bi 0.500 0.000 0.160
Bi6 Bi 0.500 0.000 0.858
Bi7 Bi 0.500 0.500 0.027
Bi8 Bi 0.500 0.500 0.343
Rh1 Rh 0.000 0.000 0.789
```